Record 1
The following is a DFT calculation (PBE) of an optimized crystal structure of MgCoRu2.

Output
E ... -6.616 eV per atom
Energy relative to the elements ... 0.20 eV per atom
SG ... I-4m2

a b c (Å): 4.644 4.644 4.644
angles (deg): 131.60 131.60 70.86
Fractional coordinates of all 4 atoms:
Mg: 0.000 0.000 0.000
Co: 0.750 0.250 0.500
Ru: 0.250 0.750 0.500
Ru: 0.500 0.500 0.000

=====

Record 2
The following is a DFT calculation (PBE) of an optimized crystal structure of La2RuS.

Output
Raw formation energy ... -0.74 eV/atom
E ... -6.556 eV per atom
SG ... I-42d

a b c (Å): 7.812 7.812 7.812
angles (deg): 131.30 131.30 71.33
Fractional coordinates of all 8 atoms:
La: 0.096 0.625 0.971
La: 0.375 0.346 0.471
La: 0.654 0.125 0.029
La: 0.875 0.904 0.529
Ru: 0.000 0.000 0.000
Ru: 0.750 0.250 0.500
S: 0.250 0.750 0.500
S: 0.500 0.500 0.000

=====

Record 3
The following is a DFT calculation (PBE) of an optimized crystal structure of SrV2ZnSi.

Output
Raw formation energy ... 2.28 eV/atom
E ... -3.044 eV per atom
SG ... P4/mmm

a b c (Å): 5.152 5.152 5.250
angles (deg): 90.00 90.00 90.00
Fractional coordinates of all 5 atoms:
Sr: 0.000 0.000 0.000
V: 0.000 0.500 0.000
V: 0.500 0.000 0.000
Zn: 0.000 0.000 0.500
Si: 0.500 0.500 0.500

=====

Record 4
The following is a DFT calculation (PBE) of an optimized crystal structure of Ca2TlZn.

Output
E ... -2.256 eV per atom
Energy relative to the elements ... -0.35 eV per atom
SG ... P4/mmm

a b c (Å): 3.767 3.767 7.671
angles (deg): 90.00 90.00 90.00
Fractional coordinates of all 4 atoms:
Ca: 0.000 0.000 0.234
Ca: 0.000 0.000 0.766
Tl: 0.500 0.500 0.500
Zn: 0.500 0.500 0.000